The following is a PBEsol calculation of an optimized crystal structure of KInAg, from Alexandria.

```
3
Lattice="3.316 0.000 0.000 0.000 4.127 0.000 -1.658 -2.063 6.119" Properties=species:S:1:pos:R:3 pbc="T T T"
Ag 0.000 0.000 0.507
K 0.000 0.000 4.091
In 1.658 2.063 1.521
```

Calculated values
formation energy from the elements: 8 meV per atom
magnetization: 0.000 μB/f.u.
total energy: -7.4 eV for the cell shown

The following is a PBEsol calculation of an optimized crystal structure of KIn3Ag, from Alexandria.

```
5
Lattice="5.361 0.000 0.000 0.000 5.361 0.000 0.000 0.000 5.361" Properties=species:S:1:pos:R:3 pbc="T T T"
Ag 0.000 0.000 0.000
In 0.000 2.680 0.000
In 0.000 0.000 2.680
In 2.680 0.000 0.000
K 2.680 2.680 2.680
```

Calculated values
formation energy from the elements: 113 meV per atom
magnetization: 0.000 μB/f.u.
total energy: -12.8 eV for the cell shown

The following is a PBEsol calculation of an optimized crystal structure of KIn2Ag2, from Alexandria.

```
10
Lattice="2.918 0.000 0.000 0.000 8.786 0.000 0.000 0.000 8.786" Properties=species:S:1:pos:R:3 pbc="T T T"
Ag 1.459 1.421 5.814
Ag 1.459 2.972 1.421
Ag 1.459 5.814 7.365
Ag 1.459 7.365 2.972
In 0.000 5.552 1.159
In 0.000 7.627 5.552
In 0.000 3.234 7.627
In 0.000 1.159 3.234
K 0.000 0.000 0.000
K 0.000 4.393 4.393
```

Calculated values
formation energy from the elements: -42 meV per atom
magnetization: 0.000 μB/f.u.
total energy: -27.9 eV for the cell shown

The following is a PBEsol calculation of an optimized crystal structure of KInAg2, from Alexandria.

```
4
Lattice="-2.301 2.193 -0.095 -2.298 -0.201 -2.189 -7.173 -4.976 5.679" Properties=species:S:1:pos:R:3 pbc="T T T"
In -5.886 -1.492 1.698
K 0.000 0.000 0.000
Ag -8.680 -2.089 2.376
Ag -3.092 -0.895 1.019
```

Calculated values
formation energy from the elements: 251 meV per atom
magnetization: 0.000 μB/f.u.
total energy: -9.7 eV for the cell shown

The following is a PBEsol calculation of an optimized crystal structure of K2InAg, from Alexandria.

```
4
Lattice="4.756 0.000 0.000 0.000 5.048 0.000 0.000 -2.524 6.205" Properties=species:S:1:pos:R:3 pbc="T T T"
Ag 0.000 2.524 3.776
K 2.378 0.000 4.990
K 0.000 0.000 1.259
In 2.378 2.524 2.475
```

Calculated values
formation energy from the elements: 39 meV per atom
magnetization: 0.000 μB/f.u.
total energy: -8.4 eV for the cell shown

The following is a PBEsol calculation of an optimized crystal structure of K2InAg, from Alexandria.

```
4
Lattice="3.801 0.000 0.000 0.000 3.801 0.000 0.000 0.000 9.915" Properties=species:S:1:pos:R:3 pbc="T T T"
Ag 0.000 0.000 5.690
In 1.900 1.900 6.701
K 0.000 0.000 9.157
K 1.900 1.900 3.240
```

Calculated values
formation energy from the elements: 26 meV per atom
magnetization: 0.000 μB/f.u.
total energy: -8.5 eV for the cell shown